(1)
Here is a relaxed structure of NaBeNb from Alexandria via LeMat-Bulk. Energies are from PBE-GGA.

Its energy above the lowest structure with this stoichiometry is 236 meV per atom. The final energy comes out at -54.949 eV per cell.

It has space group Pnma (No. 62), with a = 7.912 Å, b = 2.527 Å, c = 10.351 Å, α = 90.00°, β = 90.00° and γ = 90.00°. Symmetry generates all atoms from Na at (0.161, 0.250, 0.079), Be at (0.160, 0.250, 0.791) and Nb at (0.056, 0.250, 0.373).



(2)
Here is a relaxed structure of NaBeNb2 from Alexandria via LeMat-Bulk. Energies are from PBE-GGA.

The final energy comes out at -84.039 eV per cell.

It has space group I-42d (No. 122), with a = 3.809 Å, b = 3.809 Å, c = 20.466 Å, α = 90.00°, β = 90.00° and γ = 90.00°. Symmetry generates all atoms from Na at (0.000, 0.000, 0.000), Be at (0.000, 0.000, 0.500) and Nb at (0.231, 0.750, 0.625).



(3)
Here is a relaxed structure of NaBeNb from Alexandria via LeMat-Bulk. Energies are from PBE-GGA.

Its energy above the lowest structure with this stoichiometry is 1000 meV per atom. The final energy comes out at -45.789 eV per cell.

It has space group F-43m (No. 216), with a = 6.006 Å, b = 6.006 Å, c = 6.006 Å, α = 90.00°, β = 90.00° and γ = 90.00°. Symmetry generates all atoms from Na at (0.000, 0.000, 0.000), Be at (0.250, 0.250, 0.250) and Nb at (0.000, 0.000, 0.500).



(4)
Here is a relaxed structure of NaBeNb from Alexandria via LeMat-Bulk. Energies are from PBE-GGA.

Its energy above the lowest structure with this stoichiometry is 247 meV per atom. The final energy comes out at -27.410 eV per cell.

It has space group P-1 (No. 2), with a = 3.734 Å, b = 4.533 Å, c = 8.258 Å, α = 77.57°, β = 77.09° and γ = 65.79°. Symmetry generates all atoms from Na at (0.192, 0.254, 0.366), Be at (0.094, 0.931, 0.877) and Nb at (0.385, 0.310, 0.919).



(5)
Here is a relaxed structure of NaBeNb from Alexandria via LeMat-Bulk. Energies are from PBE-GGA.

Its energy above the lowest structure with this stoichiometry is 456 meV per atom. The final energy comes out at -52.311 eV per cell.

It has space group Pnma (No. 62), with a = 7.555 Å, b = 3.750 Å, c = 7.870 Å, α = 90.00°, β = 90.00° and γ = 90.00°. Symmetry generates all atoms from Na at (0.025, 0.250, 0.146), Be at (0.207, 0.750, 0.354) and Nb at (0.112, 0.250, 0.555).



(6)
Here is a relaxed structure of NaBeNb from Alexandria via LeMat-Bulk. Energies are from PBE-GGA.

Its energy above the lowest structure with this stoichiometry is 125 meV per atom. The final energy comes out at -28.143 eV per cell.

It has space group P-1 (No. 2), with a = 2.877 Å, b = 4.275 Å, c = 9.891 Å, α = 94.22°, β = 97.87° and γ = 90.07°. Symmetry generates all atoms from Na at (0.183, 0.225, 0.365), Be at (0.457, 0.815, 0.906) and Nb at (0.051, 0.702, 0.112).



(7)
Here is a relaxed structure of NaBeNb from Alexandria via LeMat-Bulk. Energies are from PBE-GGA.

Its energy above the lowest structure with this stoichiometry is 0 meV per atom. The final energy comes out at -57.784 eV per cell.

It has space group Cmcm (No. 63), with a = 3.723 Å, b = 20.005 Å, c = 3.420 Å, α = 90.00°, β = 90.00° and γ = 90.00°. Symmetry generates all atoms from Na at (0.000, 0.178, 0.250), Be at (0.000, 0.032, 0.250) and Nb at (0.000, 0.448, 0.250).



(8)
Here is a relaxed structure of NaBeNb3 from Alexandria via LeMat-Bulk. Energies are from PBE-GGA.

Its energy above the lowest structure with this stoichiometry is 0 meV per atom. The final energy comes out at -30.601 eV per cell.

It has space group Pm-3m (No. 221), with a = 4.553 Å, b = 4.553 Å, c = 4.553 Å, α = 90.00°, β = 90.00° and γ = 90.00°. Symmetry generates all atoms from Na at (0.000, 0.000, 0.000), Be at (0.500, 0.500, 0.500) and Nb at (0.000, 0.500, 0.500).



(9)
Here is a relaxed structure of NaBeNb from Alexandria via LeMat-Bulk. Energies are from PBE-GGA.

Its energy above the lowest structure with this stoichiometry is 102 meV per atom. The final energy comes out at -28.279 eV per cell.

It has space group P2_1/m (No. 11), with a = 2.869 Å, b = 2.868 Å, c = 13.263 Å, α = 90.00°, β = 90.06° and γ = 90.00°. Symmetry generates all atoms from Na at (0.247, 0.250, 0.121), Be at (0.251, 0.250, 0.711) and Nb at (0.250, 0.250, 0.406).



(10)
Here is a relaxed structure of NaBeNb from Alexandria via LeMat-Bulk. Energies are from PBE-GGA.

Its energy above the lowest structure with this stoichiometry is 74 meV per atom. The final energy comes out at -28.447 eV per cell.

It has space group Pm (No. 6), with a = 2.841 Å, b = 3.360 Å, c = 12.090 Å, α = 90.00°, β = 90.19° and γ = 90.00°. Symmetry generates all atoms from Na at (0.000, 0.000, 0.000), Na at (0.489, 0.500, 0.273), Be at (0.498, 0.500, 0.611), Be at (0.501, 0.500, 0.827), Nb at (0.995, 0.000, 0.496) and Nb at (0.999, 0.000, 0.727).



(11)
Here is a relaxed structure of NaBeNb from Alexandria via LeMat-Bulk. Energies are from PBE-GGA.

Its energy above the lowest structure with this stoichiometry is 89 meV per atom. The final energy comes out at -28.360 eV per cell.

It has space group P2_1/m (No. 11), with a = 2.920 Å, b = 3.630 Å, c = 11.031 Å, α = 90.00°, β = 97.39° and γ = 90.00°. Symmetry generates all atoms from Na at (0.177, 0.250, 0.365), Be at (0.024, 0.250, 0.051) and Nb at (0.434, 0.250, 0.865).



(12)
Here is a relaxed structure of NaBeNb from Alexandria via LeMat-Bulk. Energies are from PBE-GGA.

Its energy above the lowest structure with this stoichiometry is 190 meV per atom. The final energy comes out at -27.752 eV per cell.

It has space group P1 (No. 1), with a = 2.683 Å, b = 5.224 Å, c = 8.281 Å, α = 74.50°, β = 80.72° and γ = 75.24°. Symmetry generates all atoms from Na at (0.000, 0.000, 0.000), Na at (0.323, 0.570, 0.789), Be at (0.036, 0.426, 0.505), Be at (0.652, 0.094, 0.602), Nb at (0.354, 0.895, 0.395) and Nb at (0.674, 0.413, 0.245).



no.,formation energy (eV/atom)
1,0.46
2,1.04
3,1.22
4,0.47
5,0.68
6,0.35
7,0.22
8,0.93
9,0.33
10,0.30
11,0.31
12,0.41